## Y2CoSe (PBE-GGA)

Data for a geometry-optimized Y2CoSe structure.

Geometry as POSCAR:
```
Y2CoSe
1.0
-2.216 2.747 3.527
2.216 -2.747 3.527
2.216 2.747 -3.527
Y Co Se
2 1 1
direct
0.242 0.242 0.000
0.758 0.758 0.000
0.000 0.500 0.500
0.500 0.000 0.500
```

Summary:
Space-group type = No. 71
Total DFT energy (no corrections) = -6.40 eV/atom
E_form (uncorrected) = -0.52 eV/atom